[1]
A geometry-optimized NaLiB3 structure, computed with GGA-PBE.

Values from the calculation:
The total energy comes out at -14.265 eV per cell. The spin magnetization is 0.00 Bohr magnetons per cell. Its polymorph energy (0 for the lowest one) is 0 meV per atom.

Structure (CIF):
```
data_NaLiB3
_cell_length_a 3.965
_cell_length_b 3.965
_cell_length_c 3.965
_cell_angle_alpha 90.00
_cell_angle_beta 90.00
_cell_angle_gamma 90.00
_space_group_name_H-M_alt 'P m -3 m'
_space_group_IT_number 221
_space_group_name_Hall '-P 4 2 3'
loop_
_atom_site_label
_atom_site_fract_x
_atom_site_fract_y
_atom_site_fract_z
Na1 0.000 0.000 0.000
Li1 0.500 0.500 0.500
B1 0.000 0.500 0.500
```



[2]
A geometry-optimized NaLiB structure, computed with GGA-PBE.

Values from the calculation:
The total energy comes out at -36.194 eV per cell. The spin magnetization is 0.00 Bohr magnetons per cell. Its polymorph energy (0 for the lowest one) is 8 meV per atom.

Structure (CIF):
```
data_NaLiB
_cell_length_a 4.341
_cell_length_b 11.267
_cell_length_c 4.479
_cell_angle_alpha 90.00
_cell_angle_beta 90.00
_cell_angle_gamma 90.00
_space_group_name_H-M_alt 'I m m 2'
_space_group_IT_number 44
_space_group_name_Hall 'I 2 -2'
loop_
_atom_site_label
_atom_site_fract_x
_atom_site_fract_y
_atom_site_fract_z
Na1 0.000 0.209 0.000
Li1 0.000 0.000 0.660
Li2 0.000 0.500 0.732
B1 0.000 0.432 0.238
```



[3]
A geometry-optimized NaLiB structure, computed with GGA-PBE.

Values from the calculation:
The total energy comes out at -17.970 eV per cell. The spin magnetization is 0.00 Bohr magnetons per cell. Its polymorph energy (0 for the lowest one) is 29 meV per atom.

Structure (CIF):
```
data_NaLiB
_cell_length_a 4.559
_cell_length_b 4.585
_cell_length_c 5.213
_cell_angle_alpha 77.65
_cell_angle_beta 68.68
_cell_angle_gamma 79.15
_space_group_name_H-M_alt 'P 1'
_space_group_IT_number 1
_space_group_name_Hall 'P 1'
loop_
_atom_site_label
_atom_site_fract_x
_atom_site_fract_y
_atom_site_fract_z
Na1 0.000 0.000 0.000
Na2 0.483 0.530 0.041
Li1 0.026 0.576 0.522
Li2 0.665 0.203 0.523
B1 0.254 0.030 0.433
B2 0.487 0.756 0.503
```



[4]
A geometry-optimized Na2LiB2 structure, computed with GGA-PBE.

Values from the calculation:
The total energy comes out at -29.680 eV per cell. The spin magnetization is 0.00 Bohr magnetons per cell. Its polymorph energy (0 for the lowest one) is 0 meV per atom.

Structure (CIF):
```
data_Na2LiB2
_cell_length_a 5.209
_cell_length_b 5.209
_cell_length_c 6.369
_cell_angle_alpha 90.00
_cell_angle_beta 90.00
_cell_angle_gamma 90.00
_space_group_name_H-M_alt 'I 4/m m m'
_space_group_IT_number 139
_space_group_name_Hall '-I 4 2'
loop_
_atom_site_label
_atom_site_fract_x
_atom_site_fract_y
_atom_site_fract_z
Na1 0.000 0.500 0.250
Li1 0.000 0.000 0.000
B1 0.000 0.000 0.377
```



[5]
A geometry-optimized NaLiB3 structure, computed with GGA-PBE.

Values from the calculation:
The total energy comes out at -10.457 eV per cell. The spin magnetization is 0.00 Bohr magnetons per cell. Its polymorph energy (0 for the lowest one) is 762 meV per atom.

Structure (CIF):
```
data_NaLiB3
_cell_length_a 4.508
_cell_length_b 4.508
_cell_length_c 4.508
_cell_angle_alpha 90.00
_cell_angle_beta 90.00
_cell_angle_gamma 90.00
_space_group_name_H-M_alt 'P m -3 m'
_space_group_IT_number 221
_space_group_name_Hall '-P 4 2 3'
loop_
_atom_site_label
_atom_site_fract_x
_atom_site_fract_y
_atom_site_fract_z
Na1 0.000 0.000 0.000
Li1 0.500 0.500 0.500
B1 0.000 0.000 0.500
```



[6]
A geometry-optimized NaLiB14 structure, computed with GGA-PBE.

Values from the calculation:
The total energy comes out at -389.752 eV per cell. The spin magnetization is 0.00 Bohr magnetons per cell.

Structure (CIF):
```
data_NaLiB14
_cell_length_a 5.859
_cell_length_b 10.353
_cell_length_c 8.151
_cell_angle_alpha 90.00
_cell_angle_beta 90.00
_cell_angle_gamma 90.00
_space_group_name_H-M_alt 'I m m a'
_space_group_IT_number 74
_space_group_name_Hall '-I 2b 2'
loop_
_atom_site_label
_atom_site_fract_x
_atom_site_fract_y
_atom_site_fract_z
Na1 0.000 0.250 0.162
Li1 0.250 0.250 0.750
B1 0.000 0.086 0.670
B2 0.000 0.162 0.884
B3 0.000 0.167 0.471
B4 0.160 0.061 0.336
B5 0.247 0.080 0.546
```



Number 1: ΔE_f 1.80 eV per atom, calculated volume 62.3 Å³/f.u.. Number 2: ΔE_f 0.29 eV per atom, calculated volume 54.8 Å³/f.u.. Number 3: ΔE_f 0.31 eV per atom, calculated volume 49.2 Å³/f.u.. Number 4: ΔE_f 0.61 eV per atom, calculated volume 86.4 Å³/f.u.. Number 5: ΔE_f 2.56 eV per atom, calculated volume 91.6 Å³/f.u.. Number 6: ΔE_f -0.05 eV per atom, calculated volume 123.6 Å³/f.u..